Density functional theory data (PBE) for a relaxed PmSm2Er7 crystal.

**Formation energy**: 0.70 eV/atom
**Mass density**: 7.039 g/cm³
**Space-group type**: Cmmm
**M_tot**: 0.0000 μB per atom
**Density of states at the Fermi level**: 1.357 states/eV per atom

Geometry as extended XYZ:
```
10
Lattice="4.290 -8.744 0.000 4.290 8.744 0.000 0.000 0.000 5.083" Properties=species:S:1:pos:R:3 pbc="T T T"
Pm 0.000 0.000 0.000
Sm 4.290 3.516 2.542
Sm 4.290 -3.516 2.542
Er 1.549 1.879 2.542
Er 4.290 5.330 0.000
Er 1.549 -1.879 2.542
Er 4.290 0.000 2.542
Er 7.031 1.879 2.542
Er 4.290 -5.330 0.000
Er 7.031 -1.879 2.542
```